1.
RbTiIn2Hg | GGA-PBE | relaxed

Cell: 5.504 5.504 6.676 Å, 90.00 90.00 90.00°
Space group P4/mmm (No. 123)
Inequivalent atoms, fractional coordinates:
Rb 0.000 0.000 0.000 [1 per cell]
Ti 0.000 0.000 0.500 [1 per cell]
In 0.000 0.500 0.500 [2 per cell]
Hg 0.500 0.500 0.000 [1 per cell]

As for the density of states at the Fermi level: 1.26 states/eV/atom. As for the total energy: -2.3972 eV per atom. Its volume is 40.4 Å³ per atom. The calculation puts the magnetic moment at 0.61 μB per atom.

---

2.
Ta2CuIr4 | GGA-PBE | relaxed

Cell: 3.791 3.791 17.358 Å, 90.00 90.00 90.00°
Space group I4/mmm (No. 139)
Inequivalent atoms, fractional coordinates:
Ta 0.000 0.000 0.126 [4 per cell]
Cu 0.000 0.000 0.500 [2 per cell]
Ir 0.000 0.000 0.361 [4 per cell]
Ir 0.000 0.500 0.250 [4 per cell]

As for the density of states at the Fermi level: 0.89 states/eV/atom. As for the total energy: -8.9418 eV per atom. Its volume is 17.8 Å³ per atom. The calculation puts the magnetic moment at 0.00 μB per atom.

---

3.
Nd4Zn2N | GGA-PBE | relaxed

Cell: 7.593 12.961 3.724 Å, 90.00 90.00 90.00°
Space group Pbam (No. 55)
Inequivalent atoms, fractional coordinates:
Nd 0.109 0.185 0.000 [4 per cell]
Nd 0.216 0.956 0.500 [4 per cell]
Zn 0.081 0.667 0.500 [4 per cell]
N 0.000 0.000 0.000 [2 per cell]

As for the density of states at the Fermi level: 0.77 states/eV/atom. As for the total energy: -4.7007 eV per atom. For the uncorrected formation energy, the calculation gives -41 kJ/mol of atoms. Its volume is 26.2 Å³ per atom. The calculation puts the magnetic moment at 0.00 μB per atom.

---

4.
PmPaFeNi | GGA-PBE | relaxed

Cell: 6.765 6.765 6.765 Å, 90.00 90.00 90.00°
Space group F-43m (No. 216)
Inequivalent atoms, fractional coordinates:
Pm 0.000 0.000 0.000 [4 per cell]
Pa 0.000 0.000 0.500 [4 per cell]
Fe 0.250 0.250 0.750 [4 per cell]
Ni 0.250 0.250 0.250 [4 per cell]

As for the density of states at the Fermi level: 1.58 states/eV/atom. As for the total energy: -7.0765 eV per atom. Its volume is 19.3 Å³ per atom. The calculation puts the magnetic moment at 0.08 μB per atom.